1.
Below is a relaxed CoNi2B crystal, with properties calculated at the GGA-PBE level.

calculated total energy	-51.466	eV per cell
ρ	8.004	g/cm³
formation enthalpy at 0 K	-97	meV/atom

Geometry as CIF:
```
data_CoNi2B
_cell_length_a 4.2152
_cell_length_b 4.2536
_cell_length_c 5.0966
_cell_angle_alpha 105.81
_cell_angle_beta 105.56
_cell_angle_gamma 107.30
_space_group_name_H-M_alt 'P 1'
_space_group_IT_number 1
loop_
_space_group_symop_operation_xyz
'x,y,z'
loop_
_atom_site_label
_atom_site_fract_x
_atom_site_fract_y
_atom_site_fract_z
_atom_site_occupancy
Co1 0.0000 0.0000 0.0000 1
Co2 0.4629 0.0862 0.7809 1
Ni1 0.0962 0.4623 0.7765 1
Ni2 0.5524 0.5485 0.5463 1
Ni3 0.5802 0.9719 0.2787 1
Ni4 0.9727 0.5759 0.2723 1
B1 0.1217 0.1122 0.4285 1
B2 0.4348 0.4369 0.1196 1
```

2.
Below is a relaxed CoNiB2 crystal, with properties calculated at the GGA-PBE level.

calculated total energy	-96.127	eV per cell
ρ	5.310	g/cm³
formation enthalpy at 0 K	553	meV/atom
relative energy among the computed polymorphs	515	meV/atom

Geometry as CIF:
```
data_CoNiB2
_cell_length_a 4.4257
_cell_length_b 4.4257
_cell_length_c 8.8935
_cell_angle_alpha 90.00
_cell_angle_beta 90.00
_cell_angle_gamma 90.00
_space_group_name_H-M_alt 'I -4 2 d'
_space_group_IT_number 122
_space_group_name_Hall 'I -4 2bw'
loop_
_atom_site_label
_atom_site_fract_x
_atom_site_fract_y
_atom_site_fract_z
_atom_site_occupancy
Co1 0.0000 0.0000 0.0000 1
Ni1 0.0000 0.0000 0.5000 1
B1 0.2403 0.2500 0.1250 1
```

3.
Below is a relaxed CoNi2B crystal, with properties calculated at the GGA-PBE level.

calculated total energy	-102.490	eV per cell
ρ	8.065	g/cm³
formation enthalpy at 0 K	-69	meV/atom

Geometry as CIF:
```
data_CoNi2B
_cell_length_a 8.5395
_cell_length_b 3.4506
_cell_length_c 6.7454
_cell_angle_alpha 90.00
_cell_angle_beta 129.16
_cell_angle_gamma 90.00
_space_group_name_H-M_alt 'C 1 m 1'
_space_group_IT_number 8
loop_
_space_group_symop_operation_xyz
'x,y,z'
'x,-y,z'
'x+1/2,y+1/2,z'
'x+1/2,-y+1/2,z'
loop_
_atom_site_label
_atom_site_fract_x
_atom_site_fract_y
_atom_site_fract_z
_atom_site_occupancy
Co1 0.0000 0.0000 0.0000 1
Co2 0.0520 0.0000 0.6665 1
Ni1 0.1677 0.5000 0.3351 1
Ni2 0.2181 0.5000 0.9995 1
Ni3 0.3410 0.0000 0.6675 1
Ni4 0.3832 0.0000 0.3302 1
B1 0.0344 0.0000 0.3460 1
B2 0.3543 0.0000 0.9845 1
```

4.
Below is a relaxed CoNi2B crystal, with properties calculated at the GGA-PBE level.

calculated total energy	-73.223	eV per cell
ρ	7.516	g/cm³
formation enthalpy at 0 K	235	meV/atom

Geometry as CIF:
```
data_CoNi2B
_cell_length_a 2.4918
_cell_length_b 2.4918
_cell_length_c 23.0672
_cell_angle_alpha 90.00
_cell_angle_beta 90.00
_cell_angle_gamma 120.00
_space_group_name_H-M_alt 'R -3 m'
_space_group_IT_number 166
_space_group_name_Hall '-R 3 2"'
loop_
_atom_site_label
_atom_site_fract_x
_atom_site_fract_y
_atom_site_fract_z
_atom_site_occupancy
Co1 0.0000 0.0000 0.0000 1
Ni1 0.0000 0.0000 0.1044 1
B1 0.0000 0.0000 0.5000 1
```

5.
Below is a relaxed CoNi2B crystal, with properties calculated at the GGA-PBE level.

calculated total energy	-104.000	eV per cell
ρ	8.232	g/cm³
formation enthalpy at 0 K	-164	meV/atom

Geometry as CIF:
```
data_CoNi2B
_cell_length_a 2.7604
_cell_length_b 8.1937
_cell_length_c 6.6757
_cell_angle_alpha 90.00
_cell_angle_beta 90.00
_cell_angle_gamma 90.00
_space_group_name_H-M_alt 'C m c m'
_space_group_IT_number 63
_space_group_name_Hall '-C 2c 2'
loop_
_atom_site_label
_atom_site_fract_x
_atom_site_fract_y
_atom_site_fract_z
_atom_site_occupancy
Co1 0.0000 0.0741 0.2500 1
Ni1 0.0000 0.3624 0.0646 1
B1 0.0000 0.2403 0.7500 1
```

6.
Below is a relaxed Co2NiB crystal, with properties calculated at the GGA-PBE level.

calculated total energy	-26.990	eV per cell
ρ	8.436	g/cm³
formation enthalpy at 0 K	-80	meV/atom

Geometry as CIF:
```
data_Co2NiB
_cell_length_a 2.4765
_cell_length_b 2.4765
_cell_length_c 6.0134
_cell_angle_alpha 90.00
_cell_angle_beta 90.00
_cell_angle_gamma 90.00
_space_group_name_H-M_alt 'P 4/m m m'
_space_group_IT_number 123
_space_group_name_Hall '-P 4 2'
loop_
_atom_site_label
_atom_site_fract_x
_atom_site_fract_y
_atom_site_fract_z
_atom_site_occupancy
Co1 0.0000 0.0000 0.2009 1
Ni1 0.5000 0.5000 0.5000 1
B1 0.5000 0.5000 0.0000 1
```

7.
Below is a relaxed CoNi2B crystal, with properties calculated at the GGA-PBE level.

calculated total energy	-51.322	eV per cell
ρ	8.087	g/cm³
formation enthalpy at 0 K	-79	meV/atom

Geometry as CIF:
```
data_CoNi2B
_cell_length_a 5.0615
_cell_length_b 3.4419
_cell_length_c 5.0848
_cell_angle_alpha 90.00
_cell_angle_beta 119.83
_cell_angle_gamma 90.00
_space_group_name_H-M_alt 'P 1 m 1'
_space_group_IT_number 6
loop_
_space_group_symop_operation_xyz
'x,y,z'
'x,-y,z'
loop_
_atom_site_label
_atom_site_fract_x
_atom_site_fract_y
_atom_site_fract_z
_atom_site_occupancy
Co1 0.0000 0.0000 0.0000 1
Co2 0.0753 0.5000 0.7219 1
Ni1 0.3461 0.0000 0.5562 1
Ni2 0.4259 0.5000 0.2684 1
Ni3 0.6356 0.5000 0.9212 1
Ni4 0.7958 0.0000 0.3499 1
B1 0.0495 0.5000 0.3116 1
B2 0.3797 0.0000 0.9701 1
```

8.
Below is a relaxed Co2NiB crystal, with properties calculated at the GGA-PBE level.

calculated total energy	-79.312	eV per cell
ρ	8.204	g/cm³
formation enthalpy at 0 K	58	meV/atom

Geometry as CIF:
```
data_Co2NiB
_cell_length_a 2.4966
_cell_length_b 2.4966
_cell_length_c 21.0782
_cell_angle_alpha 90.00
_cell_angle_beta 90.00
_cell_angle_gamma 120.00
_space_group_name_H-M_alt 'R 3 m'
_space_group_IT_number 160
_space_group_name_Hall 'R 3 -2"'
loop_
_atom_site_label
_atom_site_fract_x
_atom_site_fract_y
_atom_site_fract_z
_atom_site_occupancy
Co1 0.0000 0.0000 0.0000 1
Co2 0.0000 0.0000 0.1961 1
Ni1 0.0000 0.0000 0.7642 1
B1 0.0000 0.0000 0.5979 1
```